## BeV2ZnH (GGA-PBE)

Data for a relaxed structure of BeV2ZnH.

## Properties
ρ	5.71	Mg/m³
Fermi-level density of states	1.502	states/eV/f.u.

abc: 3.613 3.613 3.949
angles: 90.00 90.00 90.00
Sites, in units of the cell vectors:
Be 0.000 0.000 0.000
V 0.000 0.500 0.500
V 0.500 0.000 0.500
Zn 0.500 0.500 0.000
H 0.000 0.000 0.500

## GaFe2Br8 (GGA-PBE)

Data for a relaxed structure of GaFe2Br8.

## Properties
ρ	3.22	Mg/m³
Fermi-level density of states	5.939	states/eV/f.u.
ΔE_f (raw)	-0.48	eV/atom
energy relative to the lowest polymorph listed for this composition	64	kJ/mol of formula units

abc: 7.978 7.978 6.829
angles: 90.52 90.52 76.87
Sites, in units of the cell vectors:
Ga 0.000 0.000 0.000
Fe 0.224 0.224 0.868
Fe 0.776 0.776 0.132
Br 0.088 0.731 0.214
Br 0.180 0.180 0.214
Br 0.269 0.912 0.786
Br 0.384 0.384 0.713
Br 0.616 0.616 0.287
Br 0.731 0.088 0.214
Br 0.820 0.820 0.786
Br 0.912 0.269 0.786

## Pr2Nd3Ho3 (GGA-PBE)

Data for a relaxed structure of Pr2Nd3Ho3.

## Properties
ρ	7.29	Mg/m³
Fermi-level density of states	11.351	states/eV/f.u.
energy relative to the lowest polymorph listed for this composition	84	kJ/mol of formula units
DFT formation energy	0.13	eV/atom

abc: 6.650 6.650 16.185
angles: 90.00 90.00 129.65
Sites, in units of the cell vectors:
Pr 0.220 0.780 0.628
Pr 0.220 0.780 0.872
Pr 0.780 0.220 0.128
Pr 0.780 0.220 0.372
Nd 0.076 0.924 0.094
Nd 0.076 0.924 0.406
Nd 0.265 0.735 0.250
Nd 0.735 0.265 0.750
Nd 0.924 0.076 0.594
Nd 0.924 0.076 0.906
Ho 0.382 0.618 0.050
Ho 0.382 0.618 0.450
Ho 0.460 0.540 0.750
Ho 0.540 0.460 0.250
Ho 0.618 0.382 0.550
Ho 0.618 0.382 0.950

## LiAgF4 (GGA-PBE)

Data for a relaxed structure of LiAgF4.

## Properties
ρ	4.07	Mg/m³
ΔE_f (raw)	-1.70	eV/atom
energy relative to the lowest polymorph listed for this composition	0	kJ/mol of formula units

abc: 6.322 6.322 4.996
angles: 110.06 110.06 57.83
Sites, in units of the cell vectors:
Li 0.168 0.832 0.750
Li 0.832 0.168 0.250
Ag 0.000 0.500 0.000
Ag 0.500 0.000 0.500
F 0.007 0.211 0.677
F 0.211 0.007 0.177
F 0.233 0.509 0.831
F 0.491 0.767 0.669
F 0.509 0.233 0.331
F 0.767 0.491 0.169
F 0.789 0.993 0.823
F 0.993 0.789 0.323

Energy values (in eV per atom) by entry order: -5.33, -3.52, -4.57, -3.74.